Te5Pd3Au (GGA-PBE, optimized geometry); ρ = 8.57 g/cm³; crystal system = hexagonal; raw total energy = -34.4 eV/cell
1.0
5.740 0.000 0.000
-2.870 4.971 0.000
0.000 0.000 7.839
Te Pd Au
5 3 1
direct
0.000 0.000 0.000
0.333 0.667 0.282
0.333 0.667 0.718
0.667 0.333 0.282
0.667 0.333 0.718
0.000 0.500 0.000
0.500 0.000 0.000
0.500 0.500 0.000
0.000 0.000 0.500